Compound: NaCd12Hg7
Source: Alexandria
Functional: PBE
Structure: optimized geometry

Cell lengths 8.8756, 8.8756, 8.8756 Å; angles 111.03, 111.03, 111.03 degrees
Closest atoms and distances in Å follow each position.
Sites, in units of the cell vectors:
1 Na 0.0000 0.0000 0.0000  6 Hg 3.21
2 Cd 0.1087 0.3349 0.7984  3 Hg 2.92-3.18, 5 Cd 3.01-3.24
3 Cd 0.1762 0.4938 0.5529  6 Cd 2.98-3.33, 4 Hg 3.03-3.29
4 Cd 0.2016 0.8913 0.6651  3 Hg 2.92-3.18, 5 Cd 3.01-3.24
5 Cd 0.3349 0.7984 0.1087  3 Hg 2.92-3.18, 5 Cd 3.01-3.24
6 Cd 0.4471 0.8238 0.5062  6 Cd 2.98-3.33, 4 Hg 3.03-3.29
7 Cd 0.4938 0.5529 0.1762  6 Cd 2.98-3.33, 4 Hg 3.03-3.29
8 Cd 0.5062 0.4471 0.8238  6 Cd 2.98-3.33, 4 Hg 3.03-3.29
9 Cd 0.5529 0.1762 0.4938  6 Cd 2.98-3.33, 4 Hg 3.03-3.29
10 Cd 0.6651 0.2016 0.8913  3 Hg 2.92-3.18, 5 Cd 3.01-3.24
11 Cd 0.7984 0.1087 0.3349  3 Hg 2.92-3.18, 5 Cd 3.01-3.24
12 Cd 0.8238 0.5062 0.4471  6 Cd 2.98-3.33, 4 Hg 3.03-3.29
13 Cd 0.8913 0.6651 0.2016  3 Hg 2.92-3.18, 5 Cd 3.01-3.24
14 Hg 0.0876 0.4283 0.1575  5 Cd 2.92-3.18, 1 Na 3.21
15 Hg 0.1575 0.0876 0.4283  5 Cd 2.92-3.18, 1 Na 3.21
16 Hg 0.4283 0.1575 0.0876  5 Cd 2.92-3.18, 1 Na 3.21
17 Hg 0.5000 0.5000 0.5000  6 Cd 3.06
18 Hg 0.5717 0.8425 0.9124  5 Cd 2.92-3.18, 1 Na 3.21
19 Hg 0.8425 0.9124 0.5717  5 Cd 2.92-3.18, 1 Na 3.21
20 Hg 0.9124 0.5717 0.8425  5 Cd 2.92-3.18, 1 Na 3.21


Compound: NaCd3Hg5
Source: Alexandria
Functional: PBE
Structure: optimized geometry

Cell lengths 9.0505, 9.0505, 6.3538 Å; angles 90.00, 90.00, 120.00 degrees
Closest atoms and distances in Å follow each position.
Sites, in units of the cell vectors:
1 Na 0.0000 0.0000 0.0000  2 Na 3.18, 6 Hg 3.22
2 Na 0.0000 0.0000 0.5000  2 Na 3.18, 6 Hg 3.22
3 Cd 0.0000 0.3562 0.2500  9 Hg 3.03-3.32
4 Cd 0.0000 0.6438 0.7500  9 Hg 3.03-3.32
5 Cd 0.3562 0.0000 0.2500  9 Hg 3.03-3.32
6 Cd 0.3562 0.3562 0.7500  9 Hg 3.03-3.32
7 Cd 0.6438 0.0000 0.7500  9 Hg 3.03-3.32
8 Cd 0.6438 0.6438 0.2500  9 Hg 3.03-3.32
9 Hg 0.0000 0.3092 0.7500  5 Cd 3.03-3.21, 2 Na 3.22
10 Hg 0.0000 0.6908 0.2500  5 Cd 3.03-3.21, 2 Na 3.22
11 Hg 0.3092 0.0000 0.7500  5 Cd 3.03-3.21, 2 Na 3.22
12 Hg 0.3092 0.3092 0.2500  5 Cd 3.03-3.21, 2 Na 3.22
13 Hg 0.3333 0.6667 0.0000  8 Hg 3.18-3.51, 6 Cd 3.32
14 Hg 0.3333 0.6667 0.5000  8 Hg 3.18-3.51, 6 Cd 3.32
15 Hg 0.6667 0.3333 0.0000  8 Hg 3.18-3.51, 6 Cd 3.32
16 Hg 0.6667 0.3333 0.5000  8 Hg 3.18-3.51, 6 Cd 3.32
17 Hg 0.6908 0.0000 0.2500  5 Cd 3.03-3.21, 2 Na 3.22
18 Hg 0.6908 0.6908 0.7500  5 Cd 3.03-3.21, 2 Na 3.22


Compound: Na2CdHg8
Source: Alexandria
Functional: PBE
Structure: optimized geometry

Energy above the most stable polymorph in this dataset: 6 meV per atom

Cell lengths 8.5783, 8.5783, 6.9770 Å; angles 105.40, 105.40, 35.44 degrees
Closest atoms and distances in Å follow each position.
Sites, in units of the cell vectors:
1 Na 0.2110 0.2110 0.1581  10 Hg 3.24-3.39
2 Na 0.7890 0.7890 0.8419  10 Hg 3.24-3.39
3 Cd 0.5000 0.5000 0.5000  8 Hg 2.98-3.30
4 Hg 0.0232 0.0232 0.2311  7 Hg 3.10-3.45, 1 Na 3.25, 2 Cd 3.30
5 Hg 0.1564 0.1564 0.6734  7 Hg 3.10-3.44, 3 Na 3.25-3.39
6 Hg 0.3364 0.3364 0.6089  1 Cd 2.98, 4 Hg 3.06-3.29, 3 Na 3.24-3.28
7 Hg 0.3988 0.3988 0.0657  1 Cd 3.02, 3 Hg 3.06-3.31, 3 Na 3.30-3.31
8 Hg 0.6012 0.6012 0.9343  1 Cd 3.02, 3 Hg 3.06-3.31, 3 Na 3.30-3.31
9 Hg 0.6636 0.6636 0.3911  1 Cd 2.98, 4 Hg 3.06-3.29, 3 Na 3.24-3.28
10 Hg 0.8436 0.8436 0.3266  7 Hg 3.10-3.44, 3 Na 3.25-3.39
11 Hg 0.9768 0.9768 0.7689  7 Hg 3.10-3.45, 1 Na 3.25, 2 Cd 3.30


| no. | energy of formation from the pure elements (eV/atom) | total magnetic moment (μB/atom) |
| --- | --- | --- |
| 1 | 0.01 | 0.000 |
| 2 | -0.04 | 0.000 |
| 3 | -0.12 | 0.000 |